Record 1
VASP calculation (PBE) on a geometry-optimized ThB14W structure.

POSCAR file:
```
ThB14W
1.0
-4.112 3.572 2.215
-2.348 -2.095 6.823
2.581 4.378 5.535
W B Th
2 28 2
direct
0.500 0.000 0.500
0.000 0.000 0.500
0.383 0.985 0.249
0.171 0.024 0.127
0.832 0.197 0.139
0.421 0.750 0.408
0.822 0.373 0.476
0.178 0.627 0.524
0.617 0.015 0.751
0.329 0.373 0.476
0.597 0.404 0.725
0.079 0.092 0.750
0.678 0.024 0.127
0.727 0.596 0.275
0.227 0.775 0.096
0.671 0.627 0.524
0.883 0.749 0.485
0.332 0.639 0.697
0.168 0.803 0.861
0.273 0.404 0.725
0.921 0.908 0.250
0.668 0.361 0.303
0.097 0.225 0.904
0.403 0.596 0.275
0.579 0.250 0.592
0.773 0.225 0.904
0.829 0.976 0.873
0.117 0.251 0.515
0.322 0.976 0.873
0.903 0.775 0.096
0.250 0.372 0.128
0.750 0.628 0.872
```

Values from the calculation:
size of the total moment: 0.00 Bohr magnetons per cell
E_form: -73 meV/atom



Record 2
VASP calculation (PBE) on a geometry-optimized InAu2Se structure.

POSCAR file:
```
InAu2Se
1.0
4.122 0.000 0.000
0.000 2.993 -0.007
0.000 0.010 6.840
Au Se In
2 1 1
direct
0.000 0.749 0.472
0.000 0.751 0.028
0.500 0.750 0.750
0.500 0.250 0.250
```

Values from the calculation:
offset from the most stable computed form: 10.5 kJ per mole of atoms
ΔE_f (raw): 0.005 eV per atom
size of the total moment: 0.00 Bohr magnetons per cell



Record 3
VASP calculation (PBE) on a geometry-optimized Tb4CdAg5 structure.

POSCAR file:
```
Tb4CdAg5
1.0
3.601 0.000 0.000
0.000 3.601 0.000
0.000 0.000 18.041
Tb Cd Ag
4 1 5
direct
0.000 0.000 0.603
0.000 0.000 0.397
0.000 0.000 0.810
0.000 0.000 0.190
0.000 0.000 0.000
0.500 0.500 0.707
0.500 0.500 0.293
0.500 0.500 0.090
0.500 0.500 0.500
0.500 0.500 0.910
```

Values from the calculation:
size of the total moment: 0.00 Bohr magnetons per cell
E_form: -265 meV/atom



Copy entry 2 word for word.
VASP calculation (PBE) on a geometry-optimized InAu2Se structure.

POSCAR file:
```
InAu2Se
1.0
4.122 0.000 0.000
0.000 2.993 -0.007
0.000 0.010 6.840
Au Se In
2 1 1
direct
0.000 0.749 0.472
0.000 0.751 0.028
0.500 0.750 0.750
0.500 0.250 0.250
```

Values from the calculation:
offset from the most stable computed form: 10.5 kJ per mole of atoms
ΔE_f (raw): 0.005 eV per atom
size of the total moment: 0.00 Bohr magnetons per cell



Question: Which formula does entry 2 have?
Answer: InAu2Se



Question: size of the total moment of number 1 (ThB14W)?
Answer: 0.00 Bohr magnetons per cell